This record from Alexandria describes an optimized crystal structure of LaY2IO8. The functional is PBE.

Unit cell a=5.0557 b=5.0557 c=7.0618 alpha=90.00 beta=90.00 gamma=90.14
Closest atoms and distances in Å follow each position.
Atoms (fractional coordinates):
La1 0.0000 0.0000 0.0000  6 O 2.27-2.50
Y1 0.5000 0.5000 0.2507  6 O 2.20-2.43
Y2 0.5000 0.5000 0.7493  6 O 2.20-2.43
I1 0.0000 0.0000 0.5000  6 O 1.91
O1 0.1830 0.1830 0.3025  1 I 1.91
O2 0.1830 0.1830 0.6975  1 I 1.91
O3 0.2669 0.7331 0.5000  1 I 1.91
O4 0.3172 0.6828 0.0000  2 Y 2.20, 1 La 2.27
O5 0.6828 0.3172 0.0000  2 Y 2.20, 1 La 2.27
O6 0.7331 0.2669 0.5000  1 I 1.91
O7 0.8170 0.8170 0.3025  1 I 1.91
O8 0.8170 0.8170 0.6975  1 I 1.91

Magnetization (μB/cell): 0.00
Uncorrected formation energy (eV/atom): -2.32

***

This record from Alexandria describes an optimized crystal structure of LaZrIO2. The functional is PBE.

Unit cell a=4.4548 b=4.4548 c=6.4895 alpha=90.00 beta=90.00 gamma=90.00
Closest atoms and distances in Å follow each position.
Atoms (fractional coordinates):
La1 0.0000 0.0000 0.0000  4 O 2.23
Zr1 0.5000 0.5000 0.5000  4 I 3.15
I1 0.0000 0.0000 0.5000  4 Zr 3.15, 2 La 3.24
O1 0.0000 0.5000 0.0000  2 La 2.23
O2 0.5000 0.0000 0.0000  2 La 2.23

Magnetization (μB/cell): 1.99
Uncorrected formation energy (eV/atom): -0.98

***

This record from Alexandria describes an optimized crystal structure of LaZrIO2. The functional is PBE.

Unit cell a=4.2977 b=4.2977 c=5.8385 alpha=90.00 beta=90.00 gamma=90.00
Closest atoms and distances in Å follow each position.
Atoms (fractional coordinates):
La1 0.0000 0.0000 0.0000  4 I 3.04
Zr1 0.5000 0.5000 0.5000  4 O 2.15
I1 0.5000 0.5000 0.0000  2 Zr 2.92, 4 La 3.04
O1 0.0000 0.5000 0.5000  2 Zr 2.15
O2 0.5000 0.0000 0.5000  2 Zr 2.15

Magnetization (μB/cell): 0.00
Uncorrected formation energy (eV/atom): -1.69

***

This record from Alexandria describes an optimized crystal structure of La2Os2I. The functional is PBE.

Unit cell a=4.3432 b=4.3432 c=18.0001 alpha=90.00 beta=90.00 gamma=120.00
Closest atoms and distances in Å follow each position.
Atoms (fractional coordinates):
La1 0.0000 0.0000 0.1074  6 Os 3.12-3.22
La2 0.0000 0.0000 0.3926  6 Os 3.12-3.22
La3 0.0000 0.0000 0.6074  6 Os 3.12-3.22
La4 0.0000 0.0000 0.8926  6 Os 3.12-3.22
Os1 0.3333 0.6667 0.0046  3 Os 2.51
Os2 0.3333 0.6667 0.4954  3 Os 2.51
Os3 0.6667 0.3333 0.5046  3 Os 2.51
Os4 0.6667 0.3333 0.9954  3 Os 2.51
I1 0.3333 0.6667 0.7500  6 La 3.59
I2 0.6667 0.3333 0.2500  6 La 3.59

Magnetization (μB/cell): 0.00
Uncorrected formation energy (eV/atom): -0.60

***

This record from Alexandria describes an optimized crystal structure of La4OsI. The functional is PBE.

Unit cell a=9.1245 b=9.1245 c=7.2222 alpha=105.24 beta=105.24 gamma=119.23
Closest atoms and distances in Å follow each position.
Atoms (fractional coordinates):
La1 0.9996 0.3953 0.2171  1 Os 2.74
La2 0.0004 0.6047 0.7829  1 Os 2.74
La3 0.1348 0.2614 0.7006  2 Os 2.79-2.99
La4 0.2614 0.1348 0.2006  2 Os 2.79-2.99
La5 0.3953 0.9996 0.7171  1 Os 2.74
La6 0.6047 0.0004 0.2829  1 Os 2.74
La7 0.7386 0.8652 0.7994  2 Os 2.79-2.99
La8 0.8652 0.7386 0.2994  2 Os 2.79-2.99
Os1 0.0757 0.9243 0.7500  6 La 2.74-2.99
Os2 0.9243 0.0757 0.2500  6 La 2.74-2.99
I1 0.4266 0.5734 0.2500  6 La 3.32-3.47
I2 0.5734 0.4266 0.7500  6 La 3.32-3.47

Magnetization (μB/cell): 0.00
Uncorrected formation energy (eV/atom): -0.37

***

This record from Alexandria describes an optimized crystal structure of LaOsI. The functional is PBE.

Unit cell a=7.4776 b=4.3197 c=12.7305 alpha=90.00 beta=101.50 gamma=90.00
Closest atoms and distances in Å follow each position.
Atoms (fractional coordinates):
La1 0.0000 0.0000 0.0000  6 Os 3.25, 3 I 3.33
La2 0.1132 0.0000 0.3337  6 Os 3.25, 3 I 3.33
La3 0.5000 0.5000 0.0000  6 Os 3.25, 3 I 3.33
La4 0.6132 0.5000 0.3337  6 Os 3.25, 3 I 3.33
Os1 0.2234 0.5000 0.1668  3 Os 2.49
Os2 0.3898 0.0000 0.1668  3 Os 2.49
Os3 0.7234 0.0000 0.1668  3 Os 2.49
Os4 0.8898 0.5000 0.1668  3 Os 2.49
I1 0.1063 0.5000 0.8227  3 La 3.33
I2 0.3400 0.5000 0.5109  3 La 3.33
I3 0.6063 0.0000 0.8227  3 La 3.33
I4 0.8400 0.0000 0.5109  3 La 3.33

Magnetization (μB/cell): 0.00
Uncorrected formation energy (eV/atom): -0.80

***

This record from Alexandria describes an optimized crystal structure of La10Os2I15. The functional is PBE.

Unit cell a=10.1436 b=11.2033 c=11.9736 alpha=91.85 beta=113.82 gamma=110.34
Closest atoms and distances in Å follow each position.
Atoms (fractional coordinates):
La1 0.0249 0.2066 0.0966  1 Os 2.89, 1 I 3.22
La2 0.0916 0.5468 0.3308  1 Os 2.90, 1 I 3.23
La3 0.1633 0.2524 0.8242  1 Os 2.70
La4 0.2253 0.5827 0.0525  2 Os 2.84-3.07
La5 0.3023 0.9060 0.2738  1 Os 2.88
La6 0.6977 0.0940 0.7262  1 Os 2.88
La7 0.7747 0.4173 0.9475  2 Os 2.84-3.07
La8 0.8367 0.7476 0.1758  1 Os 2.70
La9 0.9084 0.4532 0.6692  1 Os 2.90, 1 I 3.23
La10 0.9751 0.7934 0.9034  1 Os 2.89, 1 I 3.22
Os1 0.0337 0.6745 0.1199  5 La 2.70-2.90
Os2 0.9663 0.3255 0.8801  5 La 2.70-2.90
I1 0.0918 0.0379 0.3353  3 La 3.27-3.45
I2 0.1428 0.3874 0.5828  3 La 3.23-3.51
I3 0.2110 0.7370 0.8139  3 La 3.22-3.37
I4 0.2636 0.0878 0.0532  4 La 3.33-3.37
I5 0.3413 0.4429 0.3004  3 La 3.26-3.38
I6 0.3899 0.8018 0.5314  3 La 3.23-3.52
I7 0.4326 0.1566 0.7733  3 La 3.25-3.51
I8 0.5000 0.5000 0.0000  4 La 3.32-3.49
I9 0.5674 0.8434 0.2267  3 La 3.25-3.51
I10 0.6101 0.1982 0.4686  3 La 3.23-3.52
I11 0.6587 0.5571 0.6996  3 La 3.26-3.38
I12 0.7364 0.9122 0.9468  4 La 3.33-3.37
I13 0.7890 0.2630 0.1861  3 La 3.22-3.37
I14 0.8572 0.6126 0.4172  3 La 3.23-3.51
I15 0.9082 0.9621 0.6647  3 La 3.27-3.45

Magnetization (μB/cell): 0.04
Uncorrected formation energy (eV/atom): -1.28

***

This record from Alexandria describes an optimized crystal structure of La3OsI. The functional is PBE.

Unit cell a=5.6626 b=5.6626 c=5.6626 alpha=90.00 beta=90.00 gamma=90.00
Closest atoms and distances in Å follow each position.
Atoms (fractional coordinates):
La1 0.0000 0.0000 0.5000  2 Os 2.83
La2 0.0000 0.5000 0.0000  2 Os 2.83
La3 0.5000 0.0000 0.0000  2 Os 2.83
Os1 0.0000 0.0000 0.0000  6 La 2.83
I1 0.5000 0.5000 0.5000  12 La 4.00

Magnetization (μB/cell): 0.00
Uncorrected formation energy (eV/atom): -0.29

***

Please write out number 4 again, unchanged.
This record from Alexandria describes an optimized crystal structure of La2Os2I. The functional is PBE.

Unit cell a=4.3432 b=4.3432 c=18.0001 alpha=90.00 beta=90.00 gamma=120.00
Closest atoms and distances in Å follow each position.
Atoms (fractional coordinates):
La1 0.0000 0.0000 0.1074  6 Os 3.12-3.22
La2 0.0000 0.0000 0.3926  6 Os 3.12-3.22
La3 0.0000 0.0000 0.6074  6 Os 3.12-3.22
La4 0.0000 0.0000 0.8926  6 Os 3.12-3.22
Os1 0.3333 0.6667 0.0046  3 Os 2.51
Os2 0.3333 0.6667 0.4954  3 Os 2.51
Os3 0.6667 0.3333 0.5046  3 Os 2.51
Os4 0.6667 0.3333 0.9954  3 Os 2.51
I1 0.3333 0.6667 0.7500  6 La 3.59
I2 0.6667 0.3333 0.2500  6 La 3.59

Magnetization (μB/cell): 0.00
Uncorrected formation energy (eV/atom): -0.60